No. 1
# MgZr2Cd meta-GGA SCAN single point on PBEsol structure
# - formation enthalpy at 0 K (eV per formula unit) = -0.380
# - space-group type = Cm
data_MgZr2Cd
_cell_length_a 3.198
_cell_length_b 5.346
_cell_length_c 5.555
_cell_angle_alpha 110.63
_cell_angle_beta 106.73
_cell_angle_gamma 90.00
_space_group_name_H-M_alt 'P 1'
_space_group_IT_number 1
loop_
_space_group_symop_operation_xyz
'x,y,z'
loop_
_atom_site_label
_atom_site_type_symbol
_atom_site_fract_x
_atom_site_fract_y
_atom_site_fract_z
Mg1 Mg 0.242 0.688 0.483
Zr1 Zr 0.003 0.055 0.005
Zr2 Zr 0.754 0.195 0.508
Cd1 Cd 0.502 0.562 0.003

=====

No. 2
# Li2LaAs2 meta-GGA SCAN single point on PBEsol structure
# - formation enthalpy at 0 K (eV per formula unit) = -5.322
# - space-group type = I4/mmm
data_Li2LaAs2
_cell_length_a 4.136
_cell_length_b 4.136
_cell_length_c 6.318
_cell_angle_alpha 109.10
_cell_angle_beta 109.10
_cell_angle_gamma 90.00
_space_group_name_H-M_alt 'P 1'
_space_group_IT_number 1
loop_
_space_group_symop_operation_xyz
'x,y,z'
loop_
_atom_site_label
_atom_site_type_symbol
_atom_site_fract_x
_atom_site_fract_y
_atom_site_fract_z
As1 As 0.383 0.383 0.766
As2 As 0.617 0.617 0.234
La1 La 0.000 0.000 0.000
Li1 Li 0.250 0.750 0.500
Li2 Li 0.750 0.250 0.500

=====

No. 3
# SbAu meta-GGA SCAN single point on PBEsol structure
# - DFT total energy (eV per atom) = -53.3273
# - space-group type = C2/m
data_SbAu
_cell_length_a 3.984
_cell_length_b 3.976
_cell_length_c 6.378
_cell_angle_alpha 108.72
_cell_angle_beta 108.20
_cell_angle_gamma 90.00
_space_group_name_H-M_alt 'P 1'
_space_group_IT_number 1
loop_
_space_group_symop_operation_xyz
'x,y,z'
loop_
_atom_site_label
_atom_site_type_symbol
_atom_site_fract_x
_atom_site_fract_y
_atom_site_fract_z
Sb1 Sb 0.631 0.628 0.262
Sb2 Sb 0.369 0.372 0.738
Au1 Au 0.878 0.881 0.756
Au2 Au 0.122 0.119 0.244

=====

No. 4
# KCl meta-GGA SCAN single point on PBEsol structure
# - DFT total energy (eV per atom) = -10.2830
# - space-group type = P-6m2
data_KCl
_cell_length_a 3.851
_cell_length_b 4.268
_cell_length_c 4.268
_cell_angle_alpha 120.00
_cell_angle_beta 90.00
_cell_angle_gamma 90.00
_space_group_name_H-M_alt 'P 1'
_space_group_IT_number 1
loop_
_space_group_symop_operation_xyz
'x,y,z'
loop_
_atom_site_label
_atom_site_type_symbol
_atom_site_fract_x
_atom_site_fract_y
_atom_site_fract_z
K1 K 0.500 0.333 0.667
Cl1 Cl 0.000 0.000 0.000

=====

Number 1: mass density 6.3 Mg/m³. Number 2: mass density 5.2 Mg/m³. Number 3: mass density 11.7 Mg/m³. Number 4: mass density 2.0 Mg/m³.